A plane-wave DFT calculation with GGA-PBE was carried out for crystalline TlRuRh2 at its relaxed geometry.

Cell and atoms, written as POSCAR:
```
TlRuRh2
1.0
4.542 0.000 0.000
0.000 2.864 -0.004
0.000 0.009 4.941
Rh Ru Tl
2 1 1
Direct
0.000 0.125 0.977
0.500 0.125 0.297
0.000 0.625 0.435
0.500 0.625 0.791
```

Its space group is Pmm2, No. 25. The calculation puts the electronic total energy at -25.1 eV/f.u. The value obtained for the polymorph energy (0 for the lowest one) is 99 meV/atom. As for the density of states at the Fermi level: 1.088 states/eV per atom.